First-principles (PBE-GGA) data for TcHSe2 after structural relaxation, as listed in the Alexandria database.

Lattice parameters (Å, degrees): 7.9514 7.9514 7.9514 21.48 21.48 21.48
With the nearest neighbours (Å) after each atom.
Atoms (fractional coordinates):
Tc 0.0000 0.0000 0.0000  2 Se 2.39
H 0.5000 0.5000 0.5000  6 Se 2.27
Se 0.1028 0.1028 0.1028  3 H 2.27, 1 Tc 2.39
Se 0.8972 0.8972 0.8972  3 H 2.27, 1 Tc 2.39

Output
M_tot = 0.0 Bohr magnetons per cell
SG = R-3m
Distance to the lowest polymorph of the same formula = 944 meV/atom

First-principles (PBE-GGA) data for NaAg2PtF6 after structural relaxation, as listed in the Alexandria database.

Lattice parameters (Å, degrees): 5.8384 5.8897 10.4478 90.00 122.93 90.00
With the nearest neighbours (Å) after each atom.
Atoms (fractional coordinates):
Na 0.0000 0.0000 0.0000  6 F 2.31-2.37
Na 0.0000 0.5000 0.5000  6 F 2.31-2.37
Ag 0.2540 0.0468 0.7492  4 F 2.37-2.50
Ag 0.2540 0.4532 0.2492  4 F 2.37-2.50
Ag 0.7460 0.5468 0.7508  4 F 2.37-2.50
Ag 0.7460 0.9532 0.2508  4 F 2.37-2.50
Pt 0.5000 0.0000 0.5000  4 F 2.01
Pt 0.5000 0.5000 0.0000  4 F 2.01
F 0.1384 0.0580 0.2506  1 Na 2.31, 1 Pt 2.32, 2 Ag 2.37-2.43
F 0.1384 0.4420 0.7506  1 Na 2.31, 1 Pt 2.32, 2 Ag 2.37-2.43
F 0.2880 0.6880 0.0620  1 Pt 2.01
F 0.2880 0.8120 0.5620  1 Pt 2.01
F 0.3869 0.2247 0.0668  1 Pt 2.01
F 0.3869 0.2753 0.5668  1 Pt 2.01
F 0.6131 0.7247 0.4332  1 Pt 2.01
F 0.6131 0.7753 0.9332  1 Pt 2.01
F 0.7120 0.1880 0.4380  1 Pt 2.01
F 0.7120 0.3120 0.9380  1 Pt 2.01
F 0.8616 0.5580 0.2494  1 Na 2.31, 1 Pt 2.32, 2 Ag 2.37-2.43
F 0.8616 0.9420 0.7494  1 Na 2.31, 1 Pt 2.32, 2 Ag 2.37-2.43

Output
E_form (uncorrected) = -1381 kJ/mol of formula units
M_tot = 2.0 Bohr magnetons per cell
SG = P2_1/c

First-principles (PBE-GGA) data for Sm3AlNi8 after structural relaxation, as listed in the Alexandria database.

Lattice parameters (Å, degrees): 5.1024 5.1024 16.2234 90.00 90.00 120.00
With the nearest neighbours (Å) after each atom.
Atoms (fractional coordinates):
Sm 0.3333 0.6667 0.0415  12 Ni 2.91-3.12, 3 Sm 3.24
Sm 0.3333 0.6667 0.2500  15 Ni 2.95-3.23, 3 Al 2.95
Sm 0.3333 0.6667 0.4585  12 Ni 2.91-3.12, 3 Sm 3.24
Sm 0.6667 0.3333 0.5415  12 Ni 2.91-3.12, 3 Sm 3.24
Sm 0.6667 0.3333 0.7500  15 Ni 2.95-3.23, 3 Al 2.95
Sm 0.6667 0.3333 0.9585  12 Ni 2.91-3.12, 3 Sm 3.24
Al 0.3333 0.6667 0.7500  6 Ni 2.48
Al 0.6667 0.3333 0.2500  6 Ni 2.48
Ni 0.0000 0.0000 0.0000  6 Ni 2.54
Ni 0.0000 0.0000 0.2500  6 Ni 2.46
Ni 0.0000 0.0000 0.5000  6 Ni 2.54
Ni 0.0000 0.0000 0.7500  6 Ni 2.46
Ni 0.1652 0.3305 0.6278  6 Ni 2.46-2.57, 1 Al 2.48
Ni 0.1652 0.3305 0.8722  6 Ni 2.46-2.57, 1 Al 2.48
Ni 0.1652 0.8348 0.6278  6 Ni 2.46-2.57, 1 Al 2.48
Ni 0.1652 0.8348 0.8722  6 Ni 2.46-2.57, 1 Al 2.48
Ni 0.3305 0.1652 0.1278  6 Ni 2.46-2.57, 1 Al 2.48
Ni 0.3305 0.1652 0.3722  6 Ni 2.46-2.57, 1 Al 2.48
Ni 0.6695 0.8348 0.6278  6 Ni 2.46-2.57, 1 Al 2.48
Ni 0.6695 0.8348 0.8722  6 Ni 2.46-2.57, 1 Al 2.48
Ni 0.8348 0.1652 0.1278  6 Ni 2.46-2.57, 1 Al 2.48
Ni 0.8348 0.1652 0.3722  6 Ni 2.46-2.57, 1 Al 2.48
Ni 0.8348 0.6695 0.1278  6 Ni 2.46-2.57, 1 Al 2.48
Ni 0.8348 0.6695 0.3722  6 Ni 2.46-2.57, 1 Al 2.48

Output
E_form = -5.0 eV per formula unit
M_tot = 0.0 Bohr magnetons per cell
SG = P6_3/mmc
Distance to the lowest polymorph of the same formula = 0 meV/atom

M_tot of number 1 (TcHSe2)? 0.0 Bohr magnetons per cell